# ZnPt3

An optimized crystal structure of ZnPt3 (PBEsol, Alexandria).

Its energy relative to the elements is -0.2306 eV/atom. Its total energy is -0.4299 Ry per atom.

The space group is P-6m2 (No. 187) and the conventional cell measures 2.7512, 2.7512 and 8.8784 Å, with angles of 90.00, 90.00 and 120.00 degrees. The asymmetric unit holds Zn at (0.0000, 0.0000, 0.0000), Pt at (0.0000, 0.0000, 0.5000) and Pt at (0.3333, 0.6667, 0.2333).